# KLi2Cu (PBE, relaxed)
# E	-2.06	eV/atom
# formation energy from the elements	0.19	eV/atom
# theoretical density	1.90	g/cm³
# energy relative to the lowest polymorph listed for this composition	0.0257	eV/atom
# crystal system	monoclinic
data_KLi2Cu
_chemical_formula_sum 'K1 Li2 Cu1'
_cell_length_a 3.429
_cell_length_b 3.680
_cell_length_c 8.079
_cell_angle_alpha 90.00
_cell_angle_beta 90.40
_cell_angle_gamma 90.00
_symmetry_space_group_name_H-M 'P 1 m 1'
_symmetry_Int_Tables_number 6
loop_
_symmetry_equiv_pos_as_xyz
'x,y,z'
'x,-y,z'
loop_
_atom_site_label
_atom_site_fract_x
_atom_site_fract_y
_atom_site_fract_z
K1 0.000 0.000 0.000
Li1 0.000 0.000 0.412
Li2 0.502 0.500 0.623
Cu1 0.499 0.500 0.303



# TmCoSb (PBE, relaxed)
# raw formation energy	-0.54	eV per atom
# E	-5.77	eV/atom
# theoretical density	9.61	g/cm³
# crystal system	hexagonal
data_TmCoSb
_chemical_formula_sum 'Tm1 Co1 Sb1'
_cell_length_a 4.3452
_cell_length_b 4.3452
_cell_length_c 3.6941
_cell_angle_alpha 90.00
_cell_angle_beta 90.00
_cell_angle_gamma 120.00
_symmetry_space_group_name_H-M 'P -6 m 2'
_symmetry_Int_Tables_number 187
_symmetry_space_group_name_Hall 'P -6 2'
loop_
_atom_site_label
_atom_site_fract_x
_atom_site_fract_y
_atom_site_fract_z
Tm1 0.0000 0.0000 0.0000
Co1 0.3333 0.6667 0.5000
Sb1 0.6667 0.3333 0.5000